No. 1
DFT (PBE) results for a geometry-optimized LaErTmZn structure.

```
data_LaErTmZn
_chemical_formula_sum 'La1 Er1 Tm1 Zn1'
_cell_length_a 3.5607
_cell_length_b 3.5607
_cell_length_c 8.8407
_cell_angle_alpha 90.00
_cell_angle_beta 90.00
_cell_angle_gamma 90.00
_symmetry_space_group_name_H-M 'P 4 m m'
_symmetry_Int_Tables_number 99
_symmetry_space_group_name_Hall 'P 4 -2'
loop_
_atom_site_label
_atom_site_type_symbol
_atom_site_fract_x
_atom_site_fract_y
_atom_site_fract_z
La1 La 0.0000 0.0000 0.0000
Er1 Er 0.5000 0.5000 0.6950
Tm1 Tm 0.5000 0.5000 0.3037
Zn1 Zn 0.0000 0.0000 0.4978
```

Its size of the total moment is 0.00 μB per formula unit. As for the excess energy over the best structure of this formula in the dataset: 0 meV per atom. Its density of states at the Fermi level is 1.23 states/eV/atom. The energy of formation from the pure elements comes out at -61 kJ/mol of formula units.

No. 2
DFT (PBE) results for a geometry-optimized TmPaAgO6 structure.

```
data_TmPaAgO6
_chemical_formula_sum 'Tm1 Pa1 Ag1 O6'
_cell_length_a 5.4470
_cell_length_b 5.4470
_cell_length_c 4.9160
_cell_angle_alpha 90.00
_cell_angle_beta 90.00
_cell_angle_gamma 120.00
_symmetry_space_group_name_H-M 'P 3 1 2'
_symmetry_Int_Tables_number 149
_symmetry_space_group_name_Hall 'P 3 2'
loop_
_atom_site_label
_atom_site_type_symbol
_atom_site_fract_x
_atom_site_fract_y
_atom_site_fract_z
Tm1 Tm 0.0000 0.0000 0.0000
Pa1 Pa 0.6667 0.3333 0.5000
Ag1 Ag 0.3333 0.6667 0.0000
O1 O 0.3464 0.0026 0.2432
```

Its size of the total moment is 0.91 μB per formula unit. As for the formation energy without anion corrections: -214.11 kJ/mol of atoms. Its density of states at the Fermi level is 0.49 states/eV/atom.

No. 3
DFT (PBE) results for a geometry-optimized Li4Pr3Sn4 structure.

```
data_Li4Pr3Sn4
_chemical_formula_sum 'Li4 Pr3 Sn4'
_cell_length_a 3.7935
_cell_length_b 4.8465
_cell_length_c 15.1889
_cell_angle_alpha 99.14
_cell_angle_beta 97.17
_cell_angle_gamma 90.01
_symmetry_space_group_name_H-M 'P -1'
_symmetry_Int_Tables_number 2
_symmetry_space_group_name_Hall '-P 1'
loop_
_atom_site_label
_atom_site_type_symbol
_atom_site_fract_x
_atom_site_fract_y
_atom_site_fract_z
Li1 Li 0.0929 0.0929 0.1865
Li2 Li 0.2431 0.7427 0.4851
Pr1 Pr 0.3583 0.3586 0.7162
Pr2 Pr 0.5000 0.0000 0.0000
Sn1 Sn 0.0490 0.5498 0.0997
Sn2 Sn 0.1846 0.1848 0.3706
```

Its size of the total moment is 0.00 μB per formula unit. As for the excess energy over the best structure of this formula in the dataset: 92 meV per atom. Its density of states at the Fermi level is 0.39 states/eV/atom. The energy of formation from the pure elements comes out at -597 kJ/mol of formula units.

No. 4
DFT (PBE) results for a geometry-optimized Li3TbSn structure.

```
data_Li3TbSn
_chemical_formula_sum 'Li6 Tb2 Sn2'
_cell_length_a 4.9726
_cell_length_b 6.1315
_cell_length_c 7.4427
_cell_angle_alpha 90.00
_cell_angle_beta 109.41
_cell_angle_gamma 90.00
_symmetry_space_group_name_H-M 'P 1 21/m 1'
_symmetry_Int_Tables_number 11
_symmetry_space_group_name_Hall '-P 2yb'
loop_
_atom_site_label
_atom_site_type_symbol
_atom_site_fract_x
_atom_site_fract_y
_atom_site_fract_z
Li1 Li 0.0351 0.2500 0.0713
Li2 Li 0.1894 0.0010 0.3790
Tb1 Tb 0.4133 0.2500 0.8266
Sn1 Sn 0.3560 0.7500 0.7108
```

Its size of the total moment is 0.00 μB per formula unit. Its density of states at the Fermi level is 0.44 states/eV/atom. The energy of formation from the pure elements comes out at -143 kJ/mol of formula units.

No. 5
DFT (PBE) results for a geometry-optimized ZnSbAu2 structure.

```
data_ZnSbAu2
_chemical_formula_sum 'Zn4 Sb4 Au8'
_cell_length_a 4.3868
_cell_length_b 4.3868
_cell_length_c 17.7482
_cell_angle_alpha 90.00
_cell_angle_beta 90.00
_cell_angle_gamma 90.00
_symmetry_space_group_name_H-M 'I -4 2 d'
_symmetry_Int_Tables_number 122
_symmetry_space_group_name_Hall 'I -4 2bw'
loop_
_atom_site_label
_atom_site_type_symbol
_atom_site_fract_x
_atom_site_fract_y
_atom_site_fract_z
Zn1 Zn 0.0000 0.0000 0.0000
Sb1 Sb 0.0000 0.0000 0.5000
Au1 Au 0.2298 0.2500 0.1250
```

Its size of the total moment is 0.00 μB per formula unit. As for the formation energy without anion corrections: -1.30 kJ/mol of atoms. As for the excess energy over the best structure of this formula in the dataset: 52 meV per atom. Its density of states at the Fermi level is 0.36 states/eV/atom.

No. 6
DFT (PBE) results for a geometry-optimized MgCr structure.

```
data_MgCr
_chemical_formula_sum 'Mg4 Cr4'
_cell_length_a 5.3884
_cell_length_b 5.3884
_cell_length_c 5.4161
_cell_angle_alpha 90.00
_cell_angle_beta 90.00
_cell_angle_gamma 90.00
_symmetry_space_group_name_H-M 'P 42/m n m'
_symmetry_Int_Tables_number 136
_symmetry_space_group_name_Hall '-P 4n 2n'
loop_
_atom_site_label
_atom_site_type_symbol
_atom_site_fract_x
_atom_site_fract_y
_atom_site_fract_z
Mg1 Mg 0.1752 0.1752 0.0000
Cr1 Cr 0.1242 0.1242 0.5000
```

Its size of the total moment is 0.63 μB per formula unit. As for the excess energy over the best structure of this formula in the dataset: 861 meV per atom. Its density of states at the Fermi level is 1.03 states/eV/atom. The energy of formation from the pure elements comes out at 213 kJ/mol of formula units.